## PrHoAu2 (PBE-GGA)

Data for a geometry-optimized PrHoAu2 structure.

```
data_PrHoAu2
_chemical_formula_sum 'Pr1 Ho1 Au2'
_cell_length_a 3.6226
_cell_length_b 3.6226
_cell_length_c 7.4706
_cell_angle_alpha 90.00
_cell_angle_beta 90.00
_cell_angle_gamma 90.00
_symmetry_space_group_name_H-M 'P 4/m m m'
_symmetry_Int_Tables_number 123
_symmetry_space_group_name_Hall '-P 4 2'
loop_
_atom_site_label
_atom_site_type_symbol
_atom_site_fract_x
_atom_site_fract_y
_atom_site_fract_z
_atom_site_occupancy
Pr1 Pr 0.0000 0.0000 0.0000 1
Ho1 Ho 0.0000 0.0000 0.5000 1
Au1 Au 0.5000 0.5000 0.2763 1
```

Summary:
DOS at the Fermi energy (states/eV/f.u.): 1.77
Magnetic moment (μB per cell): 0.0
E_form (meV per atom): -817
Energy above the most stable polymorph in this dataset (eV/atom): 0.000